[1]
First-principles (meta-GGA SCAN) data for a crystal of Mg3Ga relaxed with PBEsol, as listed in Alexandria via LeMat-Bulk.

abc: 3.118 9.986 5.263
angles: 90.00 90.00 90.00
Atoms (fractional coordinates):
Mg1 0.000 0.000 0.000
Mg2 0.000 0.238 0.365
Mg3 0.000 0.762 0.365
Mg4 0.500 0.262 0.865
Mg5 0.500 0.500 0.500
Mg6 0.500 0.738 0.865
Ga1 0.000 0.500 0.020
Ga2 0.500 0.000 0.520

Results
Crystal system: orthorhombic
Space-group type: Imm2
Volume, Å³ per atom: 20.48
Calculated formation energy, meV per atom: -83



[2]
First-principles (meta-GGA SCAN) data for a crystal of MgGa3 relaxed with PBEsol, as listed in Alexandria via LeMat-Bulk.

abc: 10.364 3.334 4.750
angles: 90.00 117.14 90.00
Atoms (fractional coordinates):
Mg1 0.000 0.000 0.000
Mg2 0.500 0.500 0.000
Ga1 0.000 0.500 0.496
Ga2 0.245 0.000 0.864
Ga3 0.255 0.500 0.374
Ga4 0.500 0.000 0.496
Ga5 0.745 0.500 0.864
Ga6 0.755 0.000 0.374

Results
Crystal system: monoclinic
Space-group type: Cm
Volume, Å³ per atom: 18.26
Calculated formation energy, meV per atom: -35



[3]
First-principles (meta-GGA SCAN) data for a crystal of Mg3MnGa relaxed with PBEsol, as listed in Alexandria via LeMat-Bulk.

abc: 5.032 5.032 5.032
angles: 90.00 90.00 90.00
Atoms (fractional coordinates):
Mg1 0.000 0.000 0.500
Mg2 0.000 0.500 0.000
Mg3 0.500 0.000 0.000
Mn1 0.000 0.000 0.000
Ga1 0.500 0.500 0.500

Results
Crystal system: cubic
Space-group type: Pm-3m
Volume, Å³ per atom: 25.49
Calculated formation energy, meV per atom: 630



[4]
First-principles (meta-GGA SCAN) data for a crystal of MgMnGa2Rh relaxed with PBEsol, as listed in Alexandria via LeMat-Bulk.

abc: 4.671 4.671 4.817
angles: 90.00 90.00 90.00
Atoms (fractional coordinates):
Mg1 0.000 0.000 0.000
Mn1 0.500 0.500 0.000
Ga1 0.000 0.500 0.500
Ga2 0.500 0.000 0.500
Rh1 0.000 0.000 0.500

Results
Crystal system: tetragonal
Space-group type: P4/mmm
Volume, Å³ per atom: 21.02
Calculated formation energy, meV per atom: -20



[5]
First-principles (meta-GGA SCAN) data for a crystal of Mg2MnGaRh relaxed with PBEsol, as listed in Alexandria via LeMat-Bulk.

abc: 4.779 4.779 4.547
angles: 90.00 90.00 90.00
Atoms (fractional coordinates):
Mg1 0.000 0.500 0.000
Mg2 0.500 0.000 0.000
Mn1 0.000 0.000 0.500
Ga1 0.500 0.500 0.000
Rh1 0.500 0.500 0.500

Results
Crystal system: tetragonal
Space-group type: P4/mmm
Volume, Å³ per atom: 20.77
Calculated formation energy, meV per atom: 350



[6]
First-principles (meta-GGA SCAN) data for a crystal of Mg2GaN relaxed with PBEsol, as listed in Alexandria via LeMat-Bulk.

abc: 6.221 6.221 6.221
angles: 90.00 90.00 90.00
Atoms (fractional coordinates):
Mg1 0.250 0.250 0.250
Mg2 0.250 0.250 0.750
Mg3 0.250 0.750 0.250
Mg4 0.250 0.750 0.750
Mg5 0.750 0.250 0.250
Mg6 0.750 0.250 0.750
Mg7 0.750 0.750 0.250
Mg8 0.750 0.750 0.750
Ga1 0.000 0.000 0.000
Ga2 0.000 0.500 0.500
Ga3 0.500 0.000 0.500
Ga4 0.500 0.500 0.000
N1 0.000 0.000 0.500
N2 0.000 0.500 0.000
N3 0.500 0.000 0.000
N4 0.500 0.500 0.500

Results
Crystal system: cubic
Space-group type: Fm-3m
Volume, Å³ per atom: 15.05
Energy relative to the elements, uncorrected, eV/atom: 0.48



Computed D(E_F) (states/eV/cell) in order:
3.0 3.1 3.7 2.2 2.1 5.6
Computed total DFT energy (no corrections) (Ha/atom) in order:
-0.2903 -0.4975 -0.3408 -0.6600 -0.5628 -0.3093